1.
Compound: BaLi2CaAu4
Source: Alexandria via LeMat-Bulk
Functional: PBE
Structure: optimized geometry

Lattice parameters (Å, degrees): 4.5936 4.5936 10.8116 77.73 77.73 60.00
With the nearest neighbours (Å) after each atom.
Fractional positions:
Ba 0.0000 0.0000 0.0000  8 Au 3.42-3.51
Li 0.7587 0.7587 0.7239  6 Au 2.72-2.75
Li 0.2413 0.2413 0.2761  6 Au 2.72-2.75
Ca 0.5000 0.5000 0.5000  8 Au 3.07-3.16
Au 0.4022 0.4022 0.7934  3 Li 2.75, 3 Au 2.98, 1 Ca 3.07
Au 0.8882 0.8882 0.3353  3 Li 2.72, 3 Au 2.98
Au 0.1118 0.1118 0.6647  3 Li 2.72, 3 Au 2.98
Au 0.5978 0.5978 0.2066  3 Li 2.75, 3 Au 2.98, 1 Ca 3.07

Properties
DOS(E_F): 0.26 states/eV per atom
Total DFT energy (no corrections): -26.1 eV per formula unit
Total moment: 0.00 μB per formula unit

2.
Compound: CaLaP
Source: Alexandria via LeMat-Bulk
Functional: PBE
Structure: optimized geometry

Lattice parameters (Å, degrees): 4.9148 4.9148 4.9148 60.00 60.00 60.00
With the nearest neighbours (Å) after each atom.
Fractional positions:
Ca 0.0000 0.0000 0.0000  4 P 3.01
La 0.5000 0.5000 0.5000  4 P 3.01
P 0.2500 0.2500 0.2500  4 La 3.01, 4 Ca 3.01

Properties
DOS(E_F): 0.98 states/eV per atom
Total DFT energy (no corrections): -14.9 eV per formula unit
Total moment: 0.00 μB per formula unit

3.
Compound: La4MgHg
Source: Alexandria via LeMat-Bulk
Functional: PBE
Structure: optimized geometry

Lattice parameters (Å, degrees): 5.3228 5.3266 7.8888 89.96 89.97 89.99
With the nearest neighbours (Å) after each atom.
Fractional positions:
La 0.5014 0.9971 0.2567  2 Hg 3.27, 2 Mg 3.35-3.36
La 0.5012 0.9975 0.7396  2 Hg 3.27, 2 Mg 3.35
La 0.0015 0.4970 0.7393  2 Hg 3.27, 2 Mg 3.35
La 0.0011 0.4974 0.2570  2 Hg 3.27, 2 Mg 3.35-3.36
Mg 0.5013 0.4973 0.9980  8 La 3.35-3.36
Hg 0.0013 0.9973 0.4982  8 La 3.27

Properties
DOS(E_F): 1.94 states/eV per atom
E above lowest polymorph: 277 meV per atom
Total DFT energy (no corrections): -21.1 eV per formula unit
Total moment: 0.01 μB per formula unit

4.
Compound: CeSc3
Source: Alexandria via LeMat-Bulk
Functional: PBE
Structure: optimized geometry

Lattice parameters (Å, degrees): 5.4741 5.2739 14.3921 90.00 90.00 90.00
With the nearest neighbours (Å) after each atom.
Fractional positions:
Ce 0.0000 0.0000 0.5000  6 Sc 3.13-3.30
Ce 0.5000 0.5000 0.5000  6 Sc 3.13-3.30
Ce 0.5000 0.5000 0.0000  6 Sc 3.13-3.30
Ce 0.0000 0.0000 0.0000  6 Sc 3.13-3.30
Sc 0.4364 0.4999 0.2500  10 Sc 3.15-3.33
Sc 0.9364 0.0001 0.7500  10 Sc 3.15-3.33
Sc 0.0636 0.9999 0.2500  10 Sc 3.15-3.33
Sc 0.5636 0.5001 0.7500  10 Sc 3.15-3.33
Sc 0.0542 0.5001 0.8638  3 Ce 3.13-3.30, 7 Sc 3.15-3.40
Sc 0.5542 0.9999 0.1362  3 Ce 3.13-3.30, 7 Sc 3.15-3.40
Sc 0.4458 0.0001 0.6362  3 Ce 3.13-3.30, 7 Sc 3.15-3.40
Sc 0.9458 0.4999 0.3638  3 Ce 3.13-3.30, 7 Sc 3.15-3.40
Sc 0.0542 0.5001 0.6362  3 Ce 3.13-3.30, 7 Sc 3.15-3.40
Sc 0.5542 0.9999 0.3638  3 Ce 3.13-3.30, 7 Sc 3.15-3.40
Sc 0.9458 0.4999 0.1362  3 Ce 3.13-3.30, 7 Sc 3.15-3.40
Sc 0.4458 0.0001 0.8638  3 Ce 3.13-3.30, 7 Sc 3.15-3.40

Properties
DOS(E_F): 2.05 states/eV per atom
E above lowest polymorph: 30 meV per atom
Total DFT energy (no corrections): -24.6 eV per formula unit
Total moment: 0.46 μB per formula unit

5.
Compound: Ca2Sc2P
Source: Alexandria via LeMat-Bulk
Functional: PBE
Structure: optimized geometry

Lattice parameters (Å, degrees): 3.8490 3.8490 9.9753 78.88 78.88 90.00
With the nearest neighbours (Å) after each atom.
Fractional positions:
Sc 0.7500 0.2500 0.5000  4 Sc 2.72
Sc 0.2500 0.7500 0.5000  4 Sc 2.72
P 0.0000 0.0000 0.0000  8 Ca 3.13
Ca 0.4194 0.4194 0.1612  1 Ca 3.09, 4 P 3.13
Ca 0.5806 0.5806 0.8388  1 Ca 3.09, 4 P 3.13

Properties
DOS(E_F): 1.76 states/eV per atom
E above lowest polymorph: 0 meV per atom
Total DFT energy (no corrections): -22.0 eV per formula unit
Total moment: 0.00 μB per formula unit

6.
Compound: NbHg2Br
Source: Alexandria via LeMat-Bulk
Functional: PBE
Structure: optimized geometry

Lattice parameters (Å, degrees): 5.2162 5.2162 5.2162 60.00 60.00 60.00
With the nearest neighbours (Å) after each atom.
Fractional positions:
Nb 0.5000 0.5000 0.5000  8 Hg 3.19
Hg 0.2500 0.2500 0.2500  4 Nb 3.19, 4 Br 3.19
Hg 0.7500 0.7500 0.7500  4 Nb 3.19, 4 Br 3.19
Br 0.0000 0.0000 0.0000  8 Hg 3.19

Properties
DOS(E_F): 0.91 states/eV per atom
E above lowest polymorph: 350 meV per atom
Total DFT energy (no corrections): -9.4 eV per formula unit
E_form (uncorrected): 0.745 eV/atom
Total moment: 3.62 μB per formula unit

7.
Compound: TmHf2Al
Source: Alexandria via LeMat-Bulk
Functional: PBE
Structure: optimized geometry

Lattice parameters (Å, degrees): 4.4275 4.4312 4.4312 90.00 90.00 90.00
With the nearest neighbours (Å) after each atom.
Fractional positions:
Tm 0.5000 0.5000 0.5000  8 Hf 3.13, 4 Al 3.13
Hf 0.0000 0.0000 0.5000  4 Tm 3.13, 4 Al 3.13, 4 Hf 3.13
Hf 0.0000 0.5000 0.0000  4 Tm 3.13, 4 Al 3.13, 4 Hf 3.13
Al 0.5000 0.0000 0.0000  8 Hf 3.13, 4 Tm 3.13

Properties
DOS(E_F): 0.70 states/eV per atom
E above lowest polymorph: 0 meV per atom
Total DFT energy (no corrections): -28.7 eV per formula unit
Total moment: 0.00 μB per formula unit

8.
Compound: LaCd2Fe
Source: Alexandria via LeMat-Bulk
Functional: PBE
Structure: optimized geometry

Lattice parameters (Å, degrees): 6.2689 6.2689 6.2689 149.59 133.98 56.16
With the nearest neighbours (Å) after each atom.
Fractional positions:
Cd 0.9595 0.9595 0.0000  2 Fe 2.84, 4 Cd 3.08
Cd 0.5405 0.5405 0.0000  2 Fe 2.84, 4 Cd 3.08
Fe 0.7500 0.2500 0.5000  4 Cd 2.84, 4 La 2.95
La 0.2500 0.7500 0.5000  4 Fe 2.95, 2 La 3.29

Properties
DOS(E_F): 1.15 states/eV per atom
Total DFT energy (no corrections): -14.9 eV per formula unit
Total moment: 1.73 μB per formula unit